(i)
This record from Alexandria describes crystalline SmThNiIr at its relaxed geometry. The functional is PBE.

Computed properties:
Symmetry: Amm2

Cell lengths 3.871, 4.243, 5.809 Å; angles 90.00, 109.46, 90.00 degrees
Fractional coordinates of all 4 atoms:
Sm: 0.139 0.000 0.277
Ni: 0.582 0.500 0.164
Th: 0.867 0.500 0.733
Ir: 0.413 0.000 0.825

(ii)
This record from Alexandria describes crystalline SmThNiIr at its relaxed geometry. The functional is PBE.

Computed properties:
Symmetry: F-43m

Cell lengths 4.978, 4.978, 4.978 Å; angles 60.00, 60.00, 60.00 degrees
Fractional coordinates of all 4 atoms:
Th: 0.000 0.000 0.000
Sm: 0.500 0.500 0.500
Ir: 0.750 0.750 0.750
Ni: 0.250 0.250 0.250

In terms of stability, (i) leads; the second structure lies 165 meV per atom higher.

(i)
This record from Alexandria describes crystalline NiSn3Ir at its relaxed geometry. The functional is PBE.

Computed properties:
Symmetry: Pm-3m

Cell lengths 5.099, 5.099, 5.099 Å; angles 90.00, 90.00, 90.00 degrees
Fractional coordinates of all 5 atoms:
Sn: 0.000 0.000 0.500
Sn: 0.500 0.000 0.000
Sn: 0.000 0.500 0.000
Ni: 0.500 0.500 0.500
Ir: 0.000 0.000 0.000

(ii)
This record from Alexandria describes crystalline NiSn3Ir at its relaxed geometry. The functional is PBE.

Computed properties:
Symmetry: Pm-3m

Cell lengths 4.816, 4.816, 4.816 Å; angles 90.00, 90.00, 90.00 degrees
Fractional coordinates of all 5 atoms:
Sn: 0.500 0.000 0.000
Sn: 0.000 0.000 0.500
Sn: 0.000 0.500 0.000
Ir: 0.500 0.500 0.500
Ni: 0.000 0.000 0.000

In terms of stability, (ii) leads; the second structure lies 36 meV per atom higher.

(i)
This record from Alexandria describes crystalline Ni4SnIr at its relaxed geometry. The functional is PBE.

Computed properties:
Symmetry: F-43m

Cell lengths 4.780, 4.780, 4.780 Å; angles 60.00, 60.00, 60.00 degrees
Fractional coordinates of all 6 atoms:
Ni: 0.624 0.624 0.624
Ni: 0.624 0.127 0.624
Ni: 0.624 0.624 0.127
Ni: 0.127 0.624 0.624
Sn: 0.000 0.000 0.000
Ir: 0.250 0.250 0.250

(ii)
This record from Alexandria describes crystalline Ni4SnIr at its relaxed geometry. The functional is PBE.

Computed properties:
Symmetry: P-1

Cell lengths 4.566, 5.981, 7.840 Å; angles 79.58, 90.41, 131.64 degrees
Fractional coordinates of all 12 atoms:
Ni: 0.985 0.500 0.838
Ni: 0.015 0.500 0.162
Ni: 0.250 0.000 0.916
Ni: 0.485 0.500 0.338
Ni: 0.750 0.000 0.416
Ni: 0.250 0.000 0.584
Ni: 0.515 0.500 0.662
Ni: 0.750 0.000 0.084
Ir: 0.000 0.500 0.500
Ir: 0.500 0.500 0.000
Sn: 0.250 0.000 0.250
Sn: 0.750 0.000 0.750

In terms of stability, (ii) leads; the second structure lies 107 meV per atom higher.

(i)
This record from Alexandria describes crystalline SrNi2Ir2 at its relaxed geometry. The functional is PBE.

Computed properties:
Symmetry: P4/mbm

Cell lengths 7.600, 7.600, 2.729 Å; angles 90.00, 90.00, 90.00 degrees
Fractional coordinates of all 10 atoms:
Sr: 0.000 0.000 0.000
Sr: 0.500 0.500 0.000
Ni: 0.832 0.668 0.000
Ni: 0.168 0.332 0.000
Ni: 0.332 0.832 0.000
Ni: 0.668 0.168 0.000
Ir: 0.127 0.627 0.500
Ir: 0.627 0.873 0.500
Ir: 0.373 0.127 0.500
Ir: 0.873 0.373 0.500

(ii)
This record from Alexandria describes crystalline SrNi2Ir2 at its relaxed geometry. The functional is PBE.

Computed properties:
Symmetry: I4/mmm

Cell lengths 4.303, 4.303, 5.718 Å; angles 67.90, 67.90, 90.00 degrees
Fractional coordinates of all 5 atoms:
Ni: 0.750 0.250 0.500
Ni: 0.250 0.750 0.500
Ir: 0.374 0.374 0.252
Ir: 0.626 0.626 0.748
Sr: 0.000 0.000 0.000

(iii)
This record from Alexandria describes crystalline SrNi2Ir2 at its relaxed geometry. The functional is PBE.

Computed properties:
Symmetry: I4/mmm

Cell lengths 3.988, 3.988, 6.093 Å; angles 70.90, 70.90, 90.00 degrees
Fractional coordinates of all 5 atoms:
Ir: 0.750 0.250 0.500
Ir: 0.250 0.750 0.500
Sr: 0.000 0.000 0.000
Ni: 0.389 0.389 0.222
Ni: 0.611 0.611 0.778

In terms of stability, (ii) leads; the second structure lies 60 meV per atom higher.

(i)
This record from Alexandria describes crystalline SrTcNiIr2 at its relaxed geometry. The functional is PBE.

Computed properties:
Symmetry: P4/mmm

Cell lengths 4.610, 4.919, 4.610 Å; angles 90.00, 90.00, 90.00 degrees
Fractional coordinates of all 5 atoms:
Sr: 0.000 0.500 0.000
Ni: 0.000 0.000 0.000
Ir: 0.500 0.000 0.000
Ir: 0.000 0.000 0.500
Tc: 0.500 0.500 0.500

(ii)
This record from Alexandria describes crystalline SrTcNiIr2 at its relaxed geometry. The functional is PBE.

Computed properties:
Symmetry: P4/mmm

Cell lengths 4.718, 4.447, 4.718 Å; angles 90.00, 90.00, 90.00 degrees
Fractional coordinates of all 5 atoms:
Ir: 0.500 0.000 0.000
Ir: 0.000 0.000 0.500
Tc: 0.000 0.500 0.000
Sr: 0.500 0.500 0.500
Ni: 0.000 0.000 0.000

In terms of stability, (ii) leads; the second structure lies 438 meV per atom higher.

(i)
This record from Alexandria describes crystalline TaNi3Ir at its relaxed geometry. The functional is PBE.

Computed properties:
Symmetry: P-1

Cell lengths 4.957, 5.467, 4.889 Å; angles 123.95, 107.68, 53.81 degrees
Fractional coordinates of all 5 atoms:
Ni: 0.000 0.500 0.500
Ni: 0.000 0.000 0.500
Ni: 0.000 0.500 0.000
Ir: 0.500 0.000 0.000
Ta: 0.000 0.000 0.000

(ii)
This record from Alexandria describes crystalline TaNi3Ir at its relaxed geometry. The functional is PBE.

Computed properties:
Symmetry: Pm-3m

Cell lengths 4.420, 4.420, 4.420 Å; angles 90.00, 90.00, 90.00 degrees
Fractional coordinates of all 5 atoms:
Ni: 0.000 0.500 0.000
Ni: 0.500 0.000 0.000
Ni: 0.000 0.000 0.500
Ta: 0.500 0.500 0.500
Ir: 0.000 0.000 0.000

In terms of stability, (i) leads; the second structure lies 654 meV per atom higher.